{
  "formula": "Sr2HgPPd",
  "functional": "GGA-PBE",
  "state": "optimized geometry",
  "energy_ev_per_atom": -3.476,
  "sg": "P4/mmm, No. 123",
  "e_form_kj_per_mol_fu": -300,
  "lattice": [[5.859, 0.000, 0.000], [0.000, 4.505, 0.000], [0.000, 0.000, 5.859]],
  "species": ["Sr", "Pd", "Hg", "Sr", "P"],
  "fractional_positions": [[0.500, 0.000, 0.000], [0.000, 0.500, 0.000], [0.500, 0.500, 0.500], [0.000, 0.000, 0.500], [0.000, 0.000, 0.000]]
}

---

{
  "formula": "LiCo2PdS",
  "functional": "GGA-PBE",
  "state": "optimized geometry",
  "energy_ev_per_atom": -4.287,
  "sg": "P4/mmm, No. 123",
  "formation_energy_uncorrected_ev_per_atom": 0.802,
  "lattice": [[-4.210, 0.264, -2.057], [1.292, -3.232, -3.058], [-1.609, -3.352, 2.863]],
  "species": ["Pd", "Co", "Co", "S", "Li"],
  "fractional_positions": [[0.000, 0.000, 0.000], [0.000, 0.000, 0.500], [0.500, 0.000, 0.000], [0.000, 0.500, 0.000], [0.500, 0.500, 0.500]]
}

---

{
  "formula": "BIrI3",
  "functional": "GGA-PBE",
  "state": "optimized geometry",
  "polymorph_energy_ev_per_atom": 0.000,
  "energy_ev_per_atom": -2.783,
  "sg": "Pm-3m, No. 221",
  "formation_energy_uncorrected_ev_per_atom": 1.255,
  "lattice": [[5.425, 0.000, 0.000], [0.000, 5.425, 0.000], [0.000, 0.000, 5.425]],
  "species": ["I", "B", "Ir", "I", "I"],
  "fractional_positions": [[0.500, 0.000, 0.000], [0.500, 0.500, 0.500], [0.000, 0.000, 0.000], [0.000, 0.500, 0.000], [0.000, 0.000, 0.500]]
}

---

{
  "formula": "Cs2Ga2HgSb2",
  "functional": "GGA-PBE",
  "state": "optimized geometry",
  "energy_ev_per_atom": -2.632,
  "sg": "C2/m, No. 12",
  "formation_energy_uncorrected_ev_per_atom": -0.302,
  "lattice": [[4.934, 0.000, 0.000], [2.467, 7.295, -0.764], [2.467, 2.058, 7.256]],
  "species": ["Sb", "Hg", "Cs", "Ga", "Cs", "Sb", "Ga"],
  "fractional_positions": [[0.211, 0.348, 0.230], [0.000, 0.000, 0.000], [0.445, 0.763, 0.347], [0.203, 0.643, 0.951], [0.555, 0.237, 0.653], [0.789, 0.652, 0.770], [0.797, 0.357, 0.049]]
}

---

{
  "formula": "LiHI2",
  "functional": "GGA-PBE",
  "state": "optimized geometry",
  "polymorph_energy_ev_per_atom": 0.000,
  "energy_ev_per_atom": -2.651,
  "sg": "P1, No. 1",
  "lattice": [[-1.892, -3.694, 1.912], [6.982, -2.319, 2.422], [-2.797, 6.210, 3.776]],
  "species": ["H", "I", "I", "I", "Li", "Li", "H", "I"],
  "fractional_positions": [[0.052, 0.910, 0.054], [0.001, 0.011, 0.364], [0.377, 0.512, 0.363], [0.708, 0.342, 0.838], [0.594, 0.911, 0.529], [0.949, 0.411, 0.528], [0.015, 0.410, 0.053], [0.143, 0.842, 0.838]]
}

---

{
  "formula": "NaLiRu3",
  "functional": "GGA-PBE",
  "state": "optimized geometry",
  "polymorph_energy_ev_per_atom": 0.000,
  "energy_ev_per_atom": -4.849,
  "sg": "Pm-3m, No. 221",
  "e_form_kj_per_mol_fu": 658,
  "lattice": [[4.253, 0.000, 0.000], [0.000, 4.253, 0.000], [0.000, 0.000, 4.253]],
  "species": ["Ru", "Li", "Na", "Ru", "Ru"],
  "fractional_positions": [[0.500, 0.000, 0.000], [0.000, 0.000, 0.000], [0.500, 0.500, 0.500], [0.000, 0.000, 0.500], [0.000, 0.500, 0.000]]
}

---

{
  "formula": "Pr5Dy4Er3",
  "functional": "GGA-PBE",
  "state": "optimized geometry",
  "energy_ev_per_atom": -4.413,
  "sg": "C2/m, No. 12",
  "e_form_kj_per_mol_fu": 293,
  "lattice": [[-0.506, -5.793, -0.206], [5.926, -3.483, 1.222], [-7.707, -2.585, 9.422]],
  "species": ["Pr", "Dy", "Er", "Dy", "Dy", "Pr", "Pr", "Pr", "Er", "Dy", "Pr", "Er"],
  "fractional_positions": [[0.491, 0.110, 0.908], [0.176, 0.902, 0.745], [0.000, 0.500, 0.500], [0.201, 0.651, 0.947], [0.824, 0.098, 0.255], [0.500, 0.500, 0.500], [0.509, 0.890, 0.092], [0.882, 0.470, 0.766], [0.349, 0.906, 0.395], [0.799, 0.349, 0.053], [0.118, 0.530, 0.234], [0.651, 0.094, 0.605]]
}

---

{
  "formula": "EuCd2Sb2",
  "functional": "GGA-PBE",
  "state": "optimized geometry",
  "energy_ev_per_atom": -4.571,
  "sg": "P-3m1, No. 164",
  "formation_energy_uncorrected_ev_per_atom": -0.501,
  "lattice": [[-4.368, -1.933, 0.215], [2.006, 0.908, -4.244], [3.095, -6.999, -0.034]],
  "species": ["Cd", "Sb", "Eu", "Cd", "Sb"],
  "fractional_positions": [[0.667, 0.333, 0.364], [0.333, 0.667, 0.242], [0.000, 0.000, 0.000], [0.333, 0.667, 0.636], [0.667, 0.333, 0.758]]
}

---

{
  "formula": "CaTi3P",
  "functional": "GGA-PBE",
  "state": "optimized geometry",
  "polymorph_energy_ev_per_atom": 0.000,
  "energy_ev_per_atom": -6.362,
  "sg": "Pm-3m, No. 221",
  "e_form_kj_per_mol_fu": -69,
  "lattice": [[-2.866, -3.263, -1.848], [3.531, -3.132, 0.053], [-1.263, -1.350, 4.343]],
  "species": ["Ti", "P", "Ti", "Ti", "Ca"],
  "fractional_positions": [[0.000, 0.000, 0.500], [0.000, 0.000, 0.000], [0.000, 0.500, 0.000], [0.500, 0.000, 0.000], [0.500, 0.500, 0.500]]
}

---

{
  "formula": "K2Ga3Ag2",
  "functional": "GGA-PBE",
  "state": "optimized geometry",
  "energy_ev_per_atom": -2.518,
  "sg": "C2/m, No. 12",
  "e_form_kj_per_mol_fu": -62,
  "lattice": [[-3.279, -1.065, 2.937], [-3.397, -5.286, -2.219], [2.009, -5.892, 3.598]],
  "species": ["K", "Ga", "Ag", "Ga", "Ag", "K", "Ga"],
  "fractional_positions": [[0.864, 0.514, 0.759], [0.659, 0.108, 0.574], [0.117, 0.966, 0.799], [0.341, 0.892, 0.426], [0.883, 0.034, 0.201], [0.136, 0.486, 0.241], [0.500, 0.000, 0.000]]
}

---

{
  "formula": "La2PrEu",
  "functional": "GGA-PBE",
  "state": "optimized geometry",
  "polymorph_energy_ev_per_atom": 0.000,
  "energy_ev_per_atom": -6.202,
  "sg": "R-3m, No. 166",
  "e_form_kj_per_mol_fu": 10,
  "lattice": [[-0.382, 3.713, -0.471], [-2.643, 1.340, -2.318], [-9.036, 2.045, 8.431]],
  "species": ["La", "Pr", "La", "Eu"],
  "fractional_positions": [[0.248, 0.248, 0.257], [0.500, 0.500, 0.500], [0.752, 0.752, 0.743], [0.000, 0.000, 0.000]]
}

---

{
  "formula": "ZnCuSO",
  "functional": "GGA-PBE",
  "state": "optimized geometry",
  "energy_ev_per_atom": -4.239,
  "sg": "P4/nmm, No. 129",
  "formation_energy_uncorrected_ev_per_atom": -0.625,
  "lattice": [[3.837, 0.000, 0.000], [0.000, 3.837, 0.000], [0.000, 0.000, 8.628]],
  "species": ["Cu", "S", "O", "S", "Cu", "Zn", "Zn", "O"],
  "fractional_positions": [[0.000, 0.000, 0.500], [0.500, 0.000, 0.351], [0.500, 0.500, 0.000], [0.000, 0.500, 0.649], [0.500, 0.500, 0.500], [0.500, 0.000, 0.071], [0.000, 0.500, 0.929], [0.000, 0.000, 0.000]]
}

---

{
  "formula": "YSO4F",
  "functional": "GGA-PBE",
  "state": "optimized geometry",
  "polymorph_energy_ev_per_atom": 0.012,
  "energy_ev_per_atom": -7.124,
  "sg": "C2/m, No. 12",
  "formation_energy_uncorrected_ev_per_atom": -2.510,
  "lattice": [[5.686, -0.256, -0.031], [1.642, 5.450, -0.031], [1.456, 1.032, 6.204]],
  "species": ["Y", "S", "O", "O", "O", "O", "O", "O", "S", "O", "F", "F", "Y", "O"],
  "fractional_positions": [[0.209, 0.209, 0.874], [0.648, 0.648, 0.725], [0.482, 0.482, 0.744], [0.141, 0.478, 0.155], [0.859, 0.522, 0.845], [0.740, 0.740, 0.502], [0.260, 0.260, 0.498], [0.518, 0.518, 0.256], [0.352, 0.352, 0.275], [0.478, 0.141, 0.155], [0.022, 0.022, 0.181], [0.978, 0.978, 0.819], [0.791, 0.791, 0.126], [0.522, 0.859, 0.845]]
}

---

{
  "formula": "Pm5Pr2Sm12",
  "functional": "GGA-PBE",
  "state": "optimized geometry",
  "energy_ev_per_atom": -4.608,
  "sg": "C2/m, No. 12",
  "e_form_kj_per_mol_fu": 231,
  "lattice": [[9.381, 0.000, 0.000], [-4.690, 11.470, -1.930], [0.000, -5.352, 7.039]],
  "species": ["Pr", "Sm", "Sm", "Pr", "Sm", "Sm", "Sm", "Sm", "Pm", "Sm", "Pm", "Pm", "Sm", "Sm", "Pm", "Pm", "Sm", "Sm", "Sm"],
  "fractional_positions": [[0.328, 0.000, 0.000], [0.437, 0.262, 0.587], [0.672, 0.704, 0.946], [0.672, 0.000, 0.000], [0.968, 0.296, 0.054], [0.928, 0.856, 0.732], [0.442, 0.884, 0.227], [0.174, 0.738, 0.413], [0.290, 0.580, 0.612], [0.826, 0.262, 0.587], [0.232, 0.463, 0.894], [0.768, 0.537, 0.106], [0.328, 0.296, 0.054], [0.072, 0.144, 0.268], [0.000, 0.000, 0.500], [0.710, 0.420, 0.388], [0.563, 0.738, 0.413], [0.558, 0.116, 0.773], [0.032, 0.704, 0.946]]
}

---

{
  "formula": "BeNbRh",
  "functional": "GGA-PBE",
  "state": "optimized geometry",
  "polymorph_energy_ev_per_atom": 0.095,
  "energy_ev_per_atom": -7.430,
  "sg": "C2/m, No. 12",
  "e_form_kj_per_mol_fu": -110,
  "lattice": [[5.195, 0.000, 0.029], [0.000, 4.019, 0.000], [-4.397, 0.000, 7.807]],
  "species": ["Be", "Rh", "Be", "Rh", "Be", "Nb", "Rh", "Nb", "Rh", "Nb", "Be", "Nb"],
  "fractional_positions": [[0.147, 0.500, 0.658], [0.642, 0.000, 0.184], [0.147, 0.000, 0.158], [0.358, 0.000, 0.816], [0.853, 0.500, 0.342], [0.234, 0.500, 0.983], [0.358, 0.500, 0.316], [0.234, 0.000, 0.483], [0.642, 0.500, 0.684], [0.766, 0.000, 0.517], [0.853, 0.000, 0.842], [0.766, 0.500, 0.017]]
}

---

{
  "formula": "CsGaAs2",
  "functional": "GGA-PBE",
  "state": "optimized geometry",
  "energy_ev_per_atom": -3.160,
  "sg": "R-3m, No. 166",
  "e_form_kj_per_mol_fu": 52,
  "lattice": [[6.429, 0.000, 0.000], [3.214, 5.567, 0.000], [3.214, 1.856, 4.181]],
  "species": ["Cs", "Ga", "As", "As"],
  "fractional_positions": [[0.500, 0.500, 0.500], [0.000, 0.000, 0.000], [0.182, 0.182, 0.453], [0.818, 0.818, 0.547]]
}

---

{
  "formula": "TlAg",
  "functional": "GGA-PBE",
  "state": "optimized geometry",
  "energy_ev_per_atom": -2.415,
  "sg": "Fd-3m, No. 227",
  "e_form_kj_per_mol_fu": 37,
  "lattice": [[5.138, 0.000, 0.000], [2.569, 4.449, 0.000], [2.569, 1.483, 4.195]],
  "species": ["Tl", "Ag", "Tl", "Ag"],
  "fractional_positions": [[0.500, 0.500, 0.500], [0.250, 0.250, 0.250], [0.750, 0.750, 0.750], [0.000, 0.000, 0.000]]
}

---

{
  "formula": "Sr3Cl",
  "functional": "GGA-PBE",
  "state": "optimized geometry",
  "polymorph_energy_ev_per_atom": 0.087,
  "energy_ev_per_atom": -2.463,
  "sg": "Immm, No. 71",
  "formation_energy_uncorrected_ev_per_atom": -0.739,
  "lattice": [[-7.397, -0.526, -0.685], [-1.846, -5.286, -4.911], [3.050, 1.788, 6.555]],
  "species": ["Sr", "Sr", "Cl", "Sr"],
  "fractional_positions": [[0.500, 0.500, 0.000], [0.191, 0.691, 0.500], [0.000, 0.000, 0.000], [0.809, 0.309, 0.500]]
}

---

{
  "formula": "ZrSe6Br12",
  "functional": "GGA-PBE",
  "state": "optimized geometry",
  "energy_ev_per_atom": -2.925,
  "sg": "R-3, No. 148",
  "formation_energy_uncorrected_ev_per_atom": -0.318,
  "lattice": [[-5.838, -0.084, 7.810], [1.848, -7.398, 6.078], [4.511, 2.803, 8.178]],
  "species": ["Se", "Br", "Se", "Br", "Br", "Zr", "Br", "Br", "Se", "Br", "Br", "Br", "Br", "Se", "Se", "Br", "Br", "Br", "Se"],
  "fractional_positions": [[0.776, 0.708, 0.514], [0.984, 0.300, 0.462], [0.486, 0.224, 0.292], [0.016, 0.700, 0.538], [0.700, 0.538, 0.016], [0.000, 0.000, 0.000], [0.462, 0.984, 0.300], [0.109, 0.246, 0.846], [0.514, 0.776, 0.708], [0.846, 0.109, 0.246], [0.891, 0.754, 0.154], [0.754, 0.154, 0.891], [0.246, 0.846, 0.109], [0.708, 0.514, 0.776], [0.292, 0.486, 0.224], [0.538, 0.016, 0.700], [0.300, 0.462, 0.984], [0.154, 0.891, 0.754], [0.224, 0.292, 0.486]]
}

---

{
  "formula": "K3ThU2O9",
  "functional": "GGA-PBE",
  "state": "optimized geometry",
  "energy_ev_per_atom": -8.160,
  "sg": "P-3m1, No. 164",
  "formation_energy_uncorrected_ev_per_atom": -2.966,
  "lattice": [[6.200, 0.000, 0.000], [-3.100, 5.369, 0.000], [0.000, 0.000, 7.601]],
  "species": ["O", "K", "O", "O", "O", "U", "Th", "K", "U", "K", "O", "O", "O", "O", "O"],
  "fractional_positions": [[0.174, 0.349, 0.322], [0.333, 0.667, 0.669], [0.000, 0.500, 0.000], [0.500, 0.000, 0.000], [0.500, 0.500, 0.000], [0.333, 0.667, 0.163], [0.000, 0.000, 0.500], [0.000, 0.000, 0.000], [0.667, 0.333, 0.837], [0.667, 0.333, 0.331], [0.651, 0.826, 0.322], [0.174, 0.826, 0.322], [0.349, 0.174, 0.678], [0.826, 0.174, 0.678], [0.826, 0.651, 0.678]]
}

---

{
  "formula": "FeReRh2",
  "functional": "GGA-PBE",
  "state": "optimized geometry",
  "polymorph_energy_ev_per_atom": 0.090,
  "energy_ev_per_atom": -8.895,
  "sg": "I-4m2, No. 119",
  "e_form_kj_per_mol_fu": 3,
  "lattice": [[4.657, 0.045, 0.000], [1.514, 4.404, 0.000], [-3.086, -2.225, 2.687]],
  "species": ["Fe", "Rh", "Re", "Rh"],
  "fractional_positions": [[0.500, 0.500, 0.000], [0.000, 0.000, 0.000], [0.750, 0.250, 0.500], [0.250, 0.750, 0.500]]
}

---

{
  "formula": "CaLa2ScBi4",
  "functional": "GGA-PBE",
  "state": "optimized geometry",
  "energy_ev_per_atom": -5.034,
  "sg": "P2/m, No. 10",
  "e_form_kj_per_mol_fu": -633,
  "lattice": [[4.612, 0.000, 0.000], [0.000, 8.074, 0.178], [0.000, -2.781, 7.201]],
  "species": ["La", "Bi", "Bi", "Bi", "Sc", "Bi", "La", "Ca"],
  "fractional_positions": [[0.000, 0.500, 0.500], [0.000, 0.244, 0.765], [0.000, 0.756, 0.235], [0.500, 0.233, 0.229], [0.000, 0.000, 0.000], [0.500, 0.767, 0.771], [0.500, 0.000, 0.500], [0.500, 0.500, 0.000]]
}

---

{
  "formula": "TaNbSb2Te",
  "functional": "GGA-PBE",
  "state": "optimized geometry",
  "polymorph_energy_ev_per_atom": 0.000,
  "energy_ev_per_atom": -5.659,
  "sg": "P4/mmm, No. 123",
  "formation_energy_uncorrected_ev_per_atom": 1.003,
  "lattice": [[5.342, 0.000, 0.000], [0.000, 5.342, 0.000], [0.000, 0.000, 5.338]],
  "species": ["Ta", "Sb", "Te", "Sb", "Nb"],
  "fractional_positions": [[0.000, 0.000, 0.000], [0.000, 0.500, 0.000], [0.000, 0.000, 0.500], [0.500, 0.000, 0.000], [0.500, 0.500, 0.500]]
}

---

{
  "formula": "Li2ZrIn2",
  "functional": "GGA-PBE",
  "state": "optimized geometry",
  "polymorph_energy_ev_per_atom": 0.107,
  "energy_ev_per_atom": -3.683,
  "sg": "I4/mmm, No. 139",
  "e_form_kj_per_mol_fu": -54,
  "lattice": [[-0.636, 1.158, 3.710], [-1.817, -3.412, 0.754], [4.616, -3.830, 4.078]],
  "species": ["Li", "In", "Zr", "In", "Li"],
  "fractional_positions": [[0.750, 0.250, 0.500], [0.395, 0.395, 0.210], [0.000, 0.000, 0.000], [0.605, 0.605, 0.790], [0.250, 0.750, 0.500]]
}

---

{
  "formula": "La5Tb2Dy2",
  "functional": "GGA-PBE",
  "state": "optimized geometry",
  "polymorph_energy_ev_per_atom": 0.000,
  "energy_ev_per_atom": -4.763,
  "sg": "P-1, No. 2",
  "e_form_kj_per_mol_fu": 23,
  "lattice": [[-2.207, 3.446, 4.834], [-6.488, -2.993, -9.079], [4.383, -2.887, 8.170]],
  "species": ["La", "La", "La", "Dy", "Tb", "La", "Dy", "Tb", "La"],
  "fractional_positions": [[0.446, 0.891, 0.223], [0.554, 0.109, 0.777], [0.112, 0.222, 0.554], [0.778, 0.555, 0.887], [0.331, 0.664, 0.664], [0.888, 0.778, 0.446], [0.222, 0.445, 0.113], [0.669, 0.336, 0.336], [0.000, 0.000, 0.000]]
}